# 1
Density functional theory data (PBE) for Cu2Ni7 after structural relaxation.

Calculated values
formation energy from the elements = 25 meV per atom
total magnetic moment = 3.46 μB/f.u.
final energy = -48.440 eV per formula unit
offset from the most stable computed form = 0.00 eV per formula unit

Structure (POSCAR):
```
Cu2Ni7
1.0
4.330 0.000 0.000
-2.165 3.750 0.000
0.000 0.000 6.131
Cu Ni
2 7
Cartesian
0.000 2.500 0.000
2.165 1.250 0.000
0.000 0.000 0.000
-0.716 1.241 4.073
-1.449 2.509 2.058
1.433 0.000 4.073
0.716 1.241 2.058
2.897 0.000 2.058
1.449 2.509 4.073
```

# 2
Density functional theory data (PBE) for CuNi4 after structural relaxation.

Calculated values
formation energy from the elements = 381 meV per atom
total magnetic moment = 2.70 μB/f.u.
final energy = -25.319 eV per formula unit
offset from the most stable computed form = 1.78 eV per formula unit

Structure (POSCAR):
```
CuNi4
1.0
-1.649 1.649 5.688
1.649 -1.649 5.688
1.649 1.649 -5.688
Cu Ni
1 4
Cartesian
0.000 0.000 0.000
1.649 0.000 2.844
0.000 0.000 4.554
0.000 0.000 6.821
0.000 1.649 2.844
```

# 3
Density functional theory data (PBE) for Cu2Ni3 after structural relaxation.

Calculated values
formation energy from the elements = 105 meV per atom
total magnetic moment = 1.14 μB/f.u.
final energy = -25.013 eV per formula unit
offset from the most stable computed form = 0.47 eV per formula unit

Structure (POSCAR):
```
Cu2Ni3
1.0
0.000 6.092 2.201
4.242 0.000 2.201
4.242 6.092 0.000
Cu Ni
4 6
Cartesian
4.389 3.643 2.201
6.215 6.689 3.302
4.094 8.540 2.201
6.510 11.586 3.302
4.007 1.196 2.112
1.886 1.850 1.011
2.355 4.242 1.011
4.242 6.092 2.041
6.363 9.138 3.142
4.476 10.987 2.112
```

# 4
Density functional theory data (PBE) for Cu2Ni after structural relaxation.

Calculated values
formation energy from the elements = 15 meV per atom
total magnetic moment = 0.00 μB/f.u.
final energy = -13.928 eV per formula unit

Structure (POSCAR):
```
Cu2Ni
1.0
-1.273 1.273 5.310
1.273 -1.273 5.310
1.273 1.273 -5.310
Cu Ni
2 1
Cartesian
0.000 0.000 1.746
0.000 0.000 8.873
0.000 0.000 5.310
```

# 5
Density functional theory data (PBE) for Cu2Ni after structural relaxation.

Calculated values
formation energy from the elements = 214 meV per atom
total magnetic moment = 0.00 μB/f.u.
final energy = -13.332 eV per formula unit

Structure (POSCAR):
```
Cu2Ni
1.0
-2.843 2.843 2.289
2.843 -2.843 2.289
2.843 2.843 -2.289
Cu Ni
4 2
Cartesian
3.722 0.879 0.000
0.879 1.965 0.000
1.965 0.879 2.289
-0.879 1.965 2.289
0.000 0.000 1.145
0.000 0.000 3.434
```

# 6
Density functional theory data (PBE) for Cu3Ni5 after structural relaxation.

Calculated values
formation energy from the elements = 41 meV per atom
total magnetic moment = 2.60 μB/f.u.
final energy = -40.864 eV per formula unit
offset from the most stable computed form = 0.13 eV per formula unit

Structure (POSCAR):
```
Cu3Ni5
1.0
3.561 -3.577 0.000
3.561 3.577 0.000
0.000 0.000 3.521
Cu Ni
3 5
Cartesian
0.000 0.000 0.000
1.770 0.000 1.761
5.352 0.000 1.761
1.780 1.789 0.000
3.561 1.751 1.761
1.780 -1.789 0.000
3.561 0.000 0.000
3.561 -1.751 1.761
```